No. 1
A relaxed Li2CuNi crystal, computed with GGA-PBEsol.

a b c (Å): 2.7179 4.0754 4.1334
angles (deg): 90.00 90.00 90.00
Positions (direct):
Cu 0.0000 0.5000 0.5000
Li 0.0000 0.0000 0.0000
Ni 0.5000 0.0000 0.5000
Li 0.5000 0.5000 0.0000

Properties
Distance to the lowest polymorph of the same formula in eV/atom: 0.009

No. 2
A relaxed TaSiAsBr2 crystal, computed with GGA-PBEsol.

a b c (Å): 4.9763 4.9763 4.8620
angles (deg): 90.00 90.00 90.00
Site moments in Bohr magnetons follow the coordinates.
Positions (direct):
Si 0.0000 0.0000 0.5000  -0.10
Ta 0.5000 0.5000 0.5000  1.64
Br 0.0000 0.5000 0.0000  -0.03
As 0.0000 0.0000 0.0000  0.02
Br 0.5000 0.0000 0.0000  -0.03

Properties
Distance to the lowest polymorph of the same formula in eV/atom: 0.830
Uncorrected formation energy in eV/atom: 1.37

No. 3
A relaxed VPd3 crystal, computed with GGA-PBEsol.

a b c (Å): 4.4084 5.4206 5.4206
angles (deg): 120.00 90.00 90.00
Site moments in Bohr magnetons follow the coordinates.
Positions (direct):
Pd 0.7500 0.3384 0.1692  0.01
V 0.7500 0.3333 0.6667  0.94
Pd 0.2500 0.1692 0.3384  0.01
Pd 0.7500 0.8308 0.6616  0.01
Pd 0.7500 0.8308 0.1692  0.01
Pd 0.2500 0.6616 0.8308  0.01
Pd 0.2500 0.1692 0.8308  0.01
V 0.2500 0.6667 0.3333  0.94

Properties
Electronic total energy in eV per formula unit: -28.6

No. 4
A relaxed YGaAg crystal, computed with GGA-PBEsol.

a b c (Å): 4.4719 5.6346 5.7333
angles (deg): 76.93 67.05 66.62
Positions (direct):
Ga 0.1587 0.7973 0.8854
Ga 0.8413 0.2027 0.1146
Y 0.4635 0.7801 0.2928
Y 0.5365 0.2199 0.7072
Ag 0.1727 0.3770 0.2776
Ag 0.8273 0.6230 0.7224

Properties
Electronic total energy in eV per formula unit: -15.1

No. 5
A relaxed SbPS2 crystal, computed with GGA-PBEsol.

a b c (Å): 5.8702 5.8702 5.8702
angles (deg): 106.43 106.43 115.74
Positions (direct):
Sb 0.2500 0.7500 0.5000
P 0.5000 0.5000 0.0000
S 0.8385 0.3750 0.9635
P 0.7500 0.2500 0.5000
S 0.1250 0.1615 0.5365
S 0.4115 0.8750 0.0365
Sb 0.0000 0.0000 0.0000
S 0.6250 0.5885 0.4635

Properties
Distance to the lowest polymorph of the same formula in eV/atom: 0.189
Uncorrected formation energy in eV/atom: 0.23

No. 6
A relaxed Cd4Hg5 crystal, computed with GGA-PBEsol.

a b c (Å): 5.8383 8.9122 8.9122
angles (deg): 120.00 90.00 90.00
Positions (direct):
Hg 0.5000 0.6667 0.3333
Hg 0.0000 0.6667 0.3333
Hg 0.2500 0.7030 0.7030
Cd 0.2500 0.6280 0.0000
Cd 0.7500 0.0000 0.3720
Hg 0.7500 0.7030 0.0000
Cd 0.2500 0.3720 0.3720
Cd 0.7500 0.6280 0.6280
Hg 0.7500 0.2970 0.2970
Hg 0.2500 0.2970 0.0000
Hg 0.0000 0.3333 0.6667
Hg 0.7500 0.0000 0.7030
Cd 0.7500 0.3720 0.0000
Cd 0.0000 0.0000 0.0000
Hg 0.5000 0.3333 0.6667
Cd 0.2500 0.0000 0.6280
Cd 0.5000 0.0000 0.0000
Hg 0.2500 0.0000 0.2970

Properties
Distance to the lowest polymorph of the same formula in eV/atom: 0.013

No. 7
A relaxed BeZnFe2 crystal, computed with GGA-PBEsol.

a b c (Å): 2.5013 2.5013 6.7295
angles (deg): 90.00 90.00 90.00
Site moments in Bohr magnetons follow the coordinates.
Positions (direct):
Fe 0.0000 0.0000 0.2822  2.16
Zn 0.5000 0.5000 0.0000  -0.04
Fe 0.0000 0.0000 0.7178  2.16
Be 0.5000 0.5000 0.5000  -0.07

Properties
Distance to the lowest polymorph of the same formula in eV/atom: 0.000

No. 8
A relaxed Mg2ZnPt2 crystal, computed with GGA-PBEsol.

a b c (Å): 3.9402 6.5440 6.5440
angles (deg): 90.00 90.00 90.00
Positions (direct):
Mg 0.5000 0.8388 0.3388
Zn 0.0000 0.0000 0.0000
Pt 0.0000 0.1437 0.3563
Mg 0.5000 0.1612 0.6612
Mg 0.5000 0.6612 0.8388
Pt 0.0000 0.6437 0.1437
Pt 0.0000 0.8563 0.6437
Pt 0.0000 0.3563 0.8563
Mg 0.5000 0.3388 0.1612
Zn 0.0000 0.5000 0.5000

Properties
Electronic total energy in eV per formula unit: -21.9

no.,theoretical density (g/cm³),volume (Å³ per cell)
1,4.937,45.8
2,6.120,120.4
3,10.960,112.2
4,7.274,121.7
5,4.667,154.3
6,12.012,401.6
7,7.340,42.1
8,9.924,168.7